# 1
Material: NaZrCrH
Method: DFT, PBE-GGA
State: relaxed

Energy above the most stable polymorph in this dataset   148.3 meV/atom

a b c (Å): 3.0334 4.4636 9.6605
angles (deg): 90.00 92.07 90.00
Closest atoms and distances in Å follow each position.
Fractional coordinates of all 8 atoms:
1 Zr 0.5089 0.0000 0.4231  2 H 2.12-2.22
2 Zr 0.5089 0.5000 0.9231  2 H 2.12-2.22
3 Na 0.9069 0.0000 0.7374  2 H 2.27
4 Na 0.9069 0.5000 0.2374  2 H 2.27
5 H 0.0134 0.0000 0.2619  1 Cr 1.97, 1 Zr 2.12
6 H 0.0134 0.5000 0.7619  1 Cr 1.97, 1 Zr 2.12
7 Cr 0.0741 0.5000 0.5594  1 H 1.97
8 Cr 0.0741 0.0000 0.0594  1 H 1.97

# 2
Material: NaZrCrH
Method: DFT, PBE-GGA
State: relaxed

Energy above the most stable polymorph in this dataset   0.8 meV/atom

a b c (Å): 8.0091 3.1476 5.4529
angles (deg): 90.00 90.20 90.00
Closest atoms and distances in Å follow each position.
Fractional coordinates of all 8 atoms:
1 Na 0.0590 0.5000 0.1876  3 H 2.64
2 Na 0.0590 0.0000 0.6876  3 H 2.64
3 Zr 0.4434 0.5000 0.8563  3 H 2.16
4 Zr 0.4434 0.0000 0.3563  3 H 2.16
5 H 0.2974 0.5000 0.5223  3 Zr 2.16
6 H 0.2974 0.0000 0.0223  3 Zr 2.16
7 Cr 0.7174 0.5000 0.5239  3 Zr 2.85, 6 Cr 3.15
8 Cr 0.7174 0.0000 0.0239  3 Zr 2.85, 6 Cr 3.15

# 3
Material: NaZrCrH
Method: DFT, PBE-GGA
State: relaxed

Energy above the most stable polymorph in this dataset   22.9 meV/atom

a b c (Å): 7.8168 4.3365 4.3500
angles (deg): 90.00 106.27 90.00
Closest atoms and distances in Å follow each position.
Fractional coordinates of all 8 atoms:
1 Cr 0.7958 0.0000 0.6060  1 H 1.77
2 Cr 0.7958 0.5000 0.1060  1 H 1.77
3 H 0.0318 0.5000 0.2250  1 Cr 1.77
4 H 0.0318 0.0000 0.7250  1 Cr 1.77
5 Zr 0.5635 0.0000 0.9890  4 Cr 2.78-2.79, 4 Zr 3.07
6 Zr 0.5635 0.5000 0.4890  4 Cr 2.78-2.79, 4 Zr 3.07
7 Na 0.1262 0.5000 0.7725  4 H 2.28-2.29
8 Na 0.1262 0.0000 0.2725  4 H 2.28-2.29

# 4
Material: NaZrCrH
Method: DFT, PBE-GGA
State: relaxed

Energy above the most stable polymorph in this dataset   0.0 meV/atom

a b c (Å): 3.1433 3.1433 14.2922
angles (deg): 90.00 90.00 90.00
Closest atoms and distances in Å follow each position.
Fractional coordinates of all 8 atoms:
1 Zr 0.0000 0.0000 0.7124  4 H 2.23
2 Zr 0.5000 0.5000 0.2124  4 H 2.23
3 Cr 0.5000 0.5000 0.8374  1 H 1.91
4 Cr 0.0000 0.0000 0.3374  1 H 1.91
5 H 0.0000 0.0000 0.2041  1 Cr 1.91
6 H 0.5000 0.5000 0.7041  1 Cr 1.91
7 Na 0.5000 0.5000 0.5048  1 H 2.85, 4 Na 3.14
8 Na 0.0000 0.0000 0.0048  1 H 2.85, 4 Na 3.14

# 5
Material: NaZrCrH
Method: DFT, PBE-GGA
State: relaxed

Energy above the most stable polymorph in this dataset   133.7 meV/atom

a b c (Å): 4.1642 3.1176 11.8209
angles (deg): 90.00 90.00 90.00
Closest atoms and distances in Å follow each position.
Fractional coordinates of all 8 atoms:
1 Zr 0.5000 0.5000 0.7560  2 H 2.29
2 Zr 0.5000 0.0000 0.2560  2 H 2.29
3 Na 0.0000 0.5000 0.0005  2 H 2.59
4 Na 0.0000 0.0000 0.5005  2 H 2.59
5 H 0.0000 0.5000 0.6755  2 Cr 1.85
6 H 0.0000 0.0000 0.1755  2 Cr 1.85
7 Cr 0.0000 0.5000 0.2604  2 H 1.85
8 Cr 0.0000 0.0000 0.7604  2 H 1.85

# 6
Material: Nb3Cr5H12
Method: DFT, PBE-GGA
State: relaxed

Total energy   -5.927 eV/atom

a b c (Å): 9.2800 9.2800 9.2800
angles (deg): 109.47 109.47 109.47
Closest atoms and distances in Å follow each position.
Fractional coordinates of all 80 atoms:
1 H 0.2134 0.5498 0.6303  2 Cr 1.74-1.75
2 H 0.9195 0.8365 0.5498  2 Cr 1.74-1.75
3 H 0.6303 0.5805 0.9169  2 Cr 1.74-1.75
4 H 0.0498 0.4195 0.8365  2 Cr 1.74-1.75
5 H 0.5831 0.7134 0.6635  2 Cr 1.74-1.75
6 H 0.9502 0.3697 0.2866  2 Cr 1.74-1.75
7 H 0.1635 0.0805 0.9502  2 Cr 1.74-1.75
8 H 0.3365 0.5498 0.4195  2 Cr 1.74-1.75
9 H 0.4195 0.0498 0.3365  2 Cr 1.74-1.75
10 H 0.6303 0.0498 0.2134  2 Cr 1.74-1.75
11 H 0.5831 0.8697 0.4195  2 Cr 1.74-1.75
12 H 0.7866 0.3365 0.9169  2 Cr 1.74-1.75
13 H 0.4169 0.2866 0.3365  2 Cr 1.74-1.75
14 H 0.4195 0.3697 0.5831  2 Cr 1.74-1.75
15 H 0.8697 0.2866 0.4502  2 Cr 1.74-1.75
16 H 0.5498 0.3365 0.9195  2 Cr 1.74-1.75
17 H 0.3697 0.9502 0.7866  2 Cr 1.74-1.75
18 H 0.0805 0.1635 0.4502  2 Cr 1.74-1.75
19 H 0.1303 0.4169 0.0805  2 Cr 1.74-1.75
20 H 0.9502 0.5805 0.1635  2 Cr 1.74-1.75
21 H 0.8365 0.9195 0.0498  2 Cr 1.74-1.75
22 H 0.7866 0.4502 0.3697  2 Cr 1.74-1.75
23 H 0.5498 0.2134 0.1303  2 Cr 1.74-1.75
24 H 0.2866 0.8697 0.9502  2 Cr 1.74-1.75
25 H 0.2134 0.6635 0.0831  2 Cr 1.74-1.75
26 H 0.3697 0.4195 0.0831  2 Cr 1.74-1.75
27 H 0.7134 0.5831 0.1635  2 Cr 1.74-1.75
28 H 0.1635 0.0831 0.7134  2 Cr 1.74-1.75
29 H 0.1303 0.7134 0.5498  2 Cr 1.74-1.75
30 H 0.8697 0.5831 0.9195  2 Cr 1.74-1.75
31 H 0.6635 0.2134 0.5831  2 Cr 1.74-1.75
32 H 0.0831 0.1635 0.2134  2 Cr 1.74-1.75
33 H 0.9169 0.0805 0.6303  2 Cr 1.74-1.75
34 H 0.0805 0.9169 0.1303  2 Cr 1.74-1.75
35 H 0.3365 0.7866 0.4169  2 Cr 1.74-1.75
36 H 0.9195 0.0831 0.8697  2 Cr 1.74-1.75
37 H 0.4502 0.7866 0.8697  2 Cr 1.74-1.75
38 H 0.0498 0.6303 0.7134  2 Cr 1.74-1.75
39 H 0.8365 0.9169 0.2866  2 Cr 1.74-1.75
40 H 0.4502 0.6635 0.0805  2 Cr 1.74-1.75
41 H 0.5805 0.9502 0.6635  2 Cr 1.74-1.75
42 H 0.5805 0.6303 0.4169  2 Cr 1.74-1.75
43 H 0.4169 0.1303 0.5805  2 Cr 1.74-1.75
44 H 0.9169 0.8365 0.7866  2 Cr 1.74-1.75
45 H 0.6635 0.4502 0.5805  2 Cr 1.74-1.75
46 H 0.7134 0.1303 0.0498  2 Cr 1.74-1.75
47 H 0.0831 0.9195 0.3697  2 Cr 1.74-1.75
48 H 0.2866 0.4169 0.8365  2 Cr 1.74-1.75
49 Cr 0.7500 0.6250 0.3750  4 H 1.75
50 Cr 0.1250 0.3750 0.2500  4 H 1.75
51 Cr 0.0000 0.0000 0.5000  6 H 1.74
52 Cr 0.3750 0.1250 0.7500  4 H 1.75
53 Cr 0.2500 0.3750 0.6250  4 H 1.75
54 Cr 0.3750 0.2500 0.1250  4 H 1.75
55 Cr 0.7500 0.1250 0.8750  4 H 1.75
56 Cr 0.5000 0.0000 0.0000  6 H 1.74
57 Cr 0.8750 0.6250 0.7500  4 H 1.75
58 Cr 0.0000 0.5000 0.5000  6 H 1.74
59 Cr 0.6250 0.7500 0.8750  4 H 1.75
60 Cr 0.0000 0.0000 0.0000  6 H 1.74
61 Cr 0.0000 0.5000 0.0000  6 H 1.74
62 Cr 0.2500 0.8750 0.1250  4 H 1.75
63 Cr 0.5000 0.5000 0.5000  6 H 1.74
64 Cr 0.5000 0.0000 0.5000  6 H 1.74
65 Cr 0.5000 0.5000 0.0000  6 H 1.74
66 Cr 0.8750 0.2500 0.6250  4 H 1.75
67 Cr 0.1250 0.7500 0.3750  4 H 1.75
68 Cr 0.6250 0.8750 0.2500  4 H 1.75
69 Nb 0.1250 0.8750 0.7500  8 H 1.99-2.01
70 Nb 0.8750 0.7500 0.1250  8 H 1.99-2.01
71 Nb 0.2500 0.1250 0.3750  8 H 1.99-2.01
72 Nb 0.7500 0.3750 0.1250  8 H 1.99-2.01
73 Nb 0.7500 0.8750 0.6250  8 H 1.99-2.01
74 Nb 0.6250 0.2500 0.3750  8 H 1.99-2.01
75 Nb 0.6250 0.3750 0.7500  8 H 1.99-2.01
76 Nb 0.3750 0.7500 0.6250  8 H 1.99-2.01
77 Nb 0.1250 0.2500 0.8750  8 H 1.99-2.01
78 Nb 0.2500 0.6250 0.8750  8 H 1.99-2.01
79 Nb 0.3750 0.6250 0.2500  8 H 1.99-2.01
80 Nb 0.8750 0.1250 0.2500  8 H 1.99-2.01

# 7
Material: Nb3CrH
Method: DFT, PBE-GGA
State: relaxed

Energy above the most stable polymorph in this dataset   0.0 meV/atom

a b c (Å): 4.1463 4.1463 4.1463
angles (deg): 90.00 90.00 90.00
Closest atoms and distances in Å follow each position.
Fractional coordinates of all 5 atoms:
1 Nb 0.0000 0.0000 0.5000  2 H 2.07
2 Nb 0.5000 0.0000 0.0000  2 H 2.07
3 Nb 0.0000 0.5000 0.0000  2 H 2.07
4 H 0.0000 0.0000 0.0000  6 Nb 2.07
5 Cr 0.5000 0.5000 0.5000  12 Nb 2.93

# 8
Material: NbCr2H4
Method: DFT, PBE-GGA
State: relaxed

Total energy   -6.127 eV/atom

a b c (Å): 5.3167 5.3106 5.3313
angles (deg): 119.95 120.00 89.82
Closest atoms and distances in Å follow each position.
Fractional coordinates of all 14 atoms:
1 H 0.8603 0.1427 0.2926  3 Cr 1.74-1.77, 1 Nb 1.88
2 H 0.8562 0.5669 0.7141  3 Cr 1.74-1.77, 1 Nb 1.88
3 H 0.8551 0.1441 0.7094  3 Cr 1.74-1.75, 1 Nb 1.88
4 H 0.8175 0.6059 0.2074  3 Cr 1.74-1.77, 1 Nb 1.88
5 H 0.3937 0.1830 0.7857  3 Cr 1.74-1.77, 1 Nb 1.88
6 H 0.3900 0.6074 0.2077  3 Cr 1.74-1.77, 1 Nb 1.88
7 H 0.3948 0.6058 0.7904  3 Cr 1.74-1.75, 1 Nb 1.88
8 H 0.4325 0.1443 0.2929  3 Cr 1.74-1.77, 1 Nb 1.88
9 Cr 0.1250 0.3750 0.7501  6 H 1.74
10 Cr 0.6250 0.8751 0.2499  6 H 1.74-1.75
11 Cr 0.6251 0.3750 0.7501  6 H 1.74
12 Cr 0.6249 0.3748 0.2499  6 H 1.77
13 Nb 0.9996 0.0000 0.9989  4 H 1.88
14 Nb 0.2504 0.7499 0.5010  4 H 1.88

# 9
Material: Nb3CrH
Method: DFT, PBE-GGA
State: relaxed

Energy above the most stable polymorph in this dataset   1305.0 meV/atom

a b c (Å): 4.6032 4.6032 4.6032
angles (deg): 90.00 90.00 90.00
Closest atoms and distances in Å follow each position.
Fractional coordinates of all 5 atoms:
1 Nb 0.0000 0.0000 0.5000  2 Cr 2.30
2 Nb 0.5000 0.0000 0.0000  2 Cr 2.30
3 Nb 0.0000 0.5000 0.0000  2 Cr 2.30
4 Cr 0.0000 0.0000 0.0000  6 Nb 2.30
5 H 0.5000 0.5000 0.5000  12 Nb 3.25

Number 1: spin magnetization 5.7 μB per cell. Number 2: spin magnetization 6.2 μB per cell. Number 3: spin magnetization 4.3 μB per cell. Number 4: spin magnetization 7.1 μB per cell. Number 5: spin magnetization 2.9 μB per cell. Number 6: spin magnetization 16.7 μB per cell. Number 7: spin magnetization 0.0 μB per cell. Number 8: spin magnetization 0.4 μB per cell. Number 9: spin magnetization 0.0 μB per cell.